First-principles (PBE with a Hubbard U) data for a geometry-optimized NaSr2CrO4 structure, as listed in Alexandria via LeMat-Bulk.

Computed properties:
- spin magnetization (μB/atom) = 0.375
- total DFT energy (no corrections) (eV per atom) = -6.0786

Cell lengths 3.427, 5.943, 5.760 Å; angles 109.29, 90.00, 90.00 degrees
Last column: magnetic moment on the atom in μB.
Positions (direct):
Sr  0.000  0.500  0.500  0.00
Sr  0.500  0.000  0.500  -0.01
Cr  0.500  0.500  0.000  3.03
O  0.000  0.283  0.789  -0.06
O  0.000  0.717  0.211  -0.06
O  0.500  0.278  0.217  -0.01
O  0.500  0.722  0.783  -0.01
Na  0.000  0.000  0.000  0.00